DFT (GGA+U) results for a relaxed structure of Tm2FeBiO6.

Summary:
final energy	-7.00	eV/atom

abc: 5.2876 5.2876 5.4594
angles: 90.00 90.00 90.00
Last column: nearest neighbours and their distance in Å.
Space group P4mm (No. 99)
Inequivalent atoms, fractional coordinates:
Tm (0.0000, 0.5000, 0.0000) x2  4 O 2.21
Fe (0.0000, 0.0000, 0.6201) x1  5 O 1.89-2.00
Bi (0.5000, 0.5000, 0.5742) x1  5 O 2.26-2.27
O (0.0000, 0.0000, 0.2736) x1  1 Fe 1.89
O (0.2390, 0.2390, 0.7836) x4  1 Fe 2.00, 2 Tm 2.21
O (0.5000, 0.5000, 0.1586) x1  1 Bi 2.27